Record 1
Computed, not measured: a relaxed HoTlGeI6 crystal at the GGA-PBE level of DFT.

The value obtained for the uncorrected formation energy is -0.87 eV/atom.

The space group is P312 (No. 149) and the conventional cell measures 7.7983, 7.7983 and 7.6808 Å, with angles of 90.00, 90.00 and 120.00 degrees. The asymmetric unit holds Ho at (0.0000, 0.0000, 0.0000), Tl at (0.3333, 0.6667, 0.5000), Ge at (0.6667, 0.3333, 0.0000) and I at (0.3336, 0.0334, 0.2266).

=====

Record 2
Computed, not measured: a relaxed Hf2MgCrFe crystal at the GGA-PBE level of DFT.

As for the energy relative to the elements: 0.46 eV/atom.

The space group is P4/mmm (No. 123) and the conventional cell measures 4.890, 4.890 and 4.123 Å, with angles of 90.00, 90.00 and 90.00 degrees. The asymmetric unit holds Hf at (0.000, 0.500, 0.000), Mg at (0.000, 0.000, 0.500), Cr at (0.500, 0.500, 0.500) and Fe at (0.500, 0.500, 0.000).

=====

Record 3
Computed, not measured: a relaxed RbBiI5 crystal at the GGA-PBE level of DFT.

The value obtained for the uncorrected formation energy is -0.57 eV/atom.

The space group is C2/c (No. 15) and the conventional cell measures 13.336, 8.962 and 12.469 Å, with angles of 90.00, 111.34 and 90.00 degrees. The asymmetric unit holds Rb at (0.000, 0.030, 0.250), Bi at (0.000, 0.500, 0.000), I at (0.000, 0.455, 0.250), I at (0.113, 0.197, 0.560) and I at (0.220, 0.328, 0.103).

=====

Record 4
Computed, not measured: a relaxed IrPdSe6 crystal at the GGA-PBE level of DFT.

The value obtained for the uncorrected formation energy is -0.21 eV/atom.

The space group is P-1 (No. 2) and the conventional cell measures 5.949, 5.992 and 6.059 Å, with angles of 99.24, 109.75 and 90.82 degrees. The asymmetric unit holds Ir at (0.000, 0.000, 0.000), Pd at (0.500, 0.500, 0.000), Se at (0.034, 0.154, 0.416), Se at (0.161, 0.639, 0.126) and Se at (0.431, 0.143, 0.127).

=====

Total moment? In order: 0.00; 0.00; 3.92; 0.00 μB per cell.